First-principles (PBE+U) data for an optimized crystal structure of NaFeO2, as listed in Alexandria via LeMat-Bulk.

Output
DOS at the Fermi energy, states/eV/f.u.: 0.000
SG: R-3m
Volume, Å³/atom: 11.0
DFT total energy, eV per formula unit: -23.252

a = 5.713 Å, b = 5.713 Å, c = 5.713 Å
α = 31.07°, β = 31.07°, γ = 31.07°
Last column: magnetic moment on the atom in μB.
Sites, in units of the cell vectors:
O (0.234, 0.234, 0.234)  0.27
Fe (0.500, 0.500, 0.500)  4.33
O (0.766, 0.766, 0.766)  0.27
Na (0.000, 0.000, 0.000)  0.01